The following is a GGA+U calculation of a relaxed structure of NbCdFe2O6, from the Alexandria database.

## Properties
Final energy (eV/atom): -6.782

Lattice parameters (Å, degrees): 5.730 5.730 5.730 55.32 55.32 55.32
Sites, in units of the cell vectors:
Nb 0.000 0.000 0.000
Cd 0.512 0.512 0.512
Fe 0.292 0.292 0.292
Fe 0.796 0.796 0.796
O 0.073 0.378 0.707
O 0.159 0.943 0.589
O 0.378 0.707 0.073
O 0.589 0.159 0.943
O 0.707 0.073 0.378
O 0.943 0.589 0.159